No. 1
{
  "formula": "TlSbSe2",
  "functional": "PBEsol",
  "state": "relaxed",
  "dos_at_fermi_per_ev_cell": 0.1,
  "total_energy_ev_per_atom": -3.85,
  "e_form_raw_kj_per_mol_atoms": -12,
  "sg": "R3m (160)",
  "lattice_angstrom": [[4.1108, 0.0000, 0.0000], [2.0554, 3.5600, 0.0000], [2.0554, 1.1867, 7.2595]],
  "species": ["Sb", "Se", "Se", "Tl"],
  "fractional_positions": [[0.2596, 0.2596, 0.2212], [0.9918, 0.9918, 0.0245], [0.7577, 0.7577, 0.7269], [0.4909, 0.4909, 0.5274]]
}

=====

No. 2
{
  "formula": "ScSbRu2",
  "functional": "PBEsol",
  "state": "relaxed",
  "dos_at_fermi_per_ev_cell": 2.9,
  "total_energy_ev_per_atom": -8.22,
  "e_form_raw_kj_per_mol_atoms": -33,
  "sg": "Cm (8)",
  "lattice_angstrom": [[3.1824, 0.0000, 0.0000], [0.0000, 4.4876, -0.0271], [-1.5912, -1.4719, 4.5554]],
  "species": ["Ru", "Ru", "Sb", "Sc"],
  "fractional_positions": [[0.9988, 0.0669, 0.9976], [0.2482, 0.6821, 0.4964], [0.5087, 0.5613, 0.0174], [0.7443, 0.1897, 0.4887]]
}

=====

Please write out number 2 again, unchanged.
{
  "formula": "ScSbRu2",
  "functional": "PBEsol",
  "state": "relaxed",
  "dos_at_fermi_per_ev_cell": 2.9,
  "total_energy_ev_per_atom": -8.22,
  "e_form_raw_kj_per_mol_atoms": -33,
  "sg": "Cm (8)",
  "lattice_angstrom": [[3.1824, 0.0000, 0.0000], [0.0000, 4.4876, -0.0271], [-1.5912, -1.4719, 4.5554]],
  "species": ["Ru", "Ru", "Sb", "Sc"],
  "fractional_positions": [[0.9988, 0.0669, 0.9976], [0.2482, 0.6821, 0.4964], [0.5087, 0.5613, 0.0174], [0.7443, 0.1897, 0.4887]]
}